Sr2CdRuO5 PBE relaxed; final energy = -6.019 eV per atom; size of the total moment = 2.0 μB per formula unit; space group = Cmcm, No. 63
1.0
3.3953 0.0000 0.0000
-1.6977 7.6303 0.0000
0.0000 0.0000 9.6863
Cd O Sr Ru
2 10 4 2
direct
0.5127 0.0255 0.0082
0.4873 0.9745 0.5082
0.8983 0.7967 0.5082
0.7224 0.4448 0.8794
0.3613 0.7226 0.0082
0.6387 0.2774 0.5082
0.2776 0.5552 0.6371
0.1017 0.2033 0.0082
0.7224 0.4448 0.1371
0.5000 0.0000 0.2582
0.5000 0.0000 0.7582
0.2776 0.5552 0.3794
0.8735 0.7470 0.7827
0.1265 0.2530 0.7337
0.1265 0.2530 0.2827
0.8735 0.7470 0.2337
0.7689 0.5378 0.5082
0.2311 0.4622 0.0082

---

Nd6Al5Fe9 PBE relaxed; final energy = -6.392 eV per atom; size of the total moment = 16.0 μB per formula unit; space group = I4/mcm, No. 140; E_form = -0.22 eV/atom
1.0
-4.0761 4.0761 11.6957
4.0761 -4.0761 11.6957
4.0761 4.0761 -11.6957
Al Nd Fe
10 12 18
direct
0.5256 0.7870 0.5000
0.9744 0.4744 0.2614
0.2500 0.2500 0.0000
0.2870 0.0256 0.5000
0.7130 0.9744 0.5000
0.2130 0.7130 0.7386
0.4744 0.2130 0.5000
0.7500 0.7500 0.0000
0.7870 0.2870 0.2614
0.0256 0.5256 0.7386
0.4774 0.9774 0.8354
0.6056 0.6056 0.0000
0.8944 0.8944 0.0000
0.3944 0.3944 0.0000
0.1056 0.1056 0.0000
0.8580 0.3580 0.8354
0.3580 0.5226 0.5000
0.9774 0.1420 0.5000
0.0226 0.8580 0.5000
0.5226 0.0226 0.1646
0.6420 0.4774 0.5000
0.1420 0.6420 0.1646
0.0691 0.7893 0.8584
0.7107 0.4309 0.1416
0.7675 0.6186 0.5000
0.5691 0.7107 0.2797
0.9309 0.2107 0.1416
0.2325 0.3814 0.5000
0.7325 0.2325 0.8511
0.8814 0.7325 0.5000
0.2107 0.0691 0.2797
0.5000 0.0000 0.5000
0.1186 0.2675 0.5000
0.0000 0.5000 0.5000
0.6186 0.1186 0.8511
0.4309 0.2893 0.7203
0.2893 0.5691 0.8584
0.3814 0.8814 0.1489
0.7893 0.9309 0.7203
0.2675 0.7675 0.1489

---

Ho12BiRh6 PBE relaxed; final energy = -6.072 eV per atom; size of the total moment = 0.0 μB per formula unit; space group = Im-3, No. 204; E_form = -0.66 eV/atom
1.0
8.0751 0.0000 -2.8550
-4.0375 6.9932 -2.8550
0.0000 0.0000 8.5649
Bi Ho Rh
1 12 6
direct
0.0000 0.0000 0.0000
0.4944 0.1911 0.3032
0.8089 0.3032 0.1121
0.8879 0.1911 0.6968
0.1911 0.3032 0.4944
0.5056 0.8089 0.6968
0.8089 0.6968 0.5056
0.6968 0.5056 0.8089
0.6968 0.8879 0.1911
0.3032 0.1121 0.8089
0.1911 0.6968 0.8879
0.1121 0.8089 0.3032
0.3032 0.4944 0.1911
0.5000 0.8694 0.3694
0.6306 0.5000 0.1306
0.1306 0.6306 0.5000
0.5000 0.1306 0.6306
0.3694 0.5000 0.8694
0.8694 0.3694 0.5000

---

VTc3I PBE relaxed; final energy = -6.857 eV per atom; offset from the most stable computed form = 0.000 eV/atom; size of the total moment = 0.7 μB per formula unit; space group = Pm-3m, No. 221
1.0
-4.3720 1.2731 -0.3653
-1.3236 -4.1531 1.3670
0.0489 1.4141 4.3435
V Tc I
1 3 1
direct
0.0000 0.0000 0.0000
0.0000 0.0000 0.5000
0.0000 0.5000 0.0000
0.5000 0.0000 0.0000
0.5000 0.5000 0.5000